[1]
A plane-wave DFT calculation with GGA-PBE was carried out for PaAl7Fe5 after structural relaxation.

Calculated values
**ρ**: 6.207 g/cm3

Cell lengths 4.975, 8.694, 8.648 Å; angles 90.00, 90.00, 90.00 degrees
Space group Imm2 (No. 44)
Unique sites:
Pa1 0.000 0.000 0.000
Al1 0.000 0.000 0.352
Al2 0.000 0.000 0.663
Al3 0.000 0.287 0.507
Al4 0.000 0.346 0.020
Al5 0.000 0.500 0.735
Fe1 0.000 0.500 0.283
Fe2 0.248 0.249 0.762

[2]
A plane-wave DFT calculation with GGA-PBE was carried out for Pa2Al8Fe after structural relaxation.

Calculated values
**ρ**: 5.983 g/cm3

Cell lengths 4.268, 4.268, 11.180 Å; angles 90.00, 90.00, 90.00 degrees
Space group P4/mmm (No. 123)
Unique sites:
Pa1 0.000 0.000 0.196
Al1 0.000 0.500 0.000
Al2 0.000 0.500 0.385
Al3 0.500 0.500 0.194
Fe1 0.000 0.000 0.500

[3]
A plane-wave DFT calculation with GGA-PBE was carried out for PaAl6Fe6 after structural relaxation.

Calculated values
**ρ**: 6.630 g/cm3

Cell lengths 4.949, 8.516, 8.652 Å; angles 90.00, 90.00, 90.00 degrees
Space group Immm (No. 71)
Unique sites:
Pa1 0.000 0.000 0.000
Al1 0.000 0.000 0.349
Al2 0.000 0.344 0.000
Al3 0.000 0.500 0.299
Fe1 0.000 0.266 0.500
Fe2 0.250 0.250 0.250

[4]
A plane-wave DFT calculation with GGA-PBE was carried out for Pa2AlFe after structural relaxation.

Calculated values
**E above lowest polymorph**: 367 meV/atom
**ρ**: 11.122 g/cm3

Cell lengths 3.0599, 3.0599, 30.1001 Å; angles 90.00, 90.00, 120.00 degrees
Space group R-3m (No. 166, hexagonal axes)
Unique sites:
Pa1 0.0000 0.0000 0.0784
Al1 0.0000 0.0000 0.5000
Fe1 0.0000 0.0000 0.0000

[5]
A plane-wave DFT calculation with GGA-PBE was carried out for PaAl4Fe after structural relaxation.

Calculated values
**ρ**: 6.452 g/cm3

Cell lengths 7.465, 4.097, 6.644 Å; angles 90.00, 90.00, 90.00 degrees
Space group Pmma (No. 51)
Unique sites:
Pa1 0.250 0.000 0.112
Al1 0.000 0.000 0.500
Al2 0.065 0.500 0.807
Al3 0.250 0.500 0.456
Fe1 0.250 0.000 0.726

[6]
A plane-wave DFT calculation with GGA-PBE was carried out for Pa2Al12Fe7 after structural relaxation.

Calculated values
**ρ**: 6.296 g/cm3

Cell lengths 9.4713, 9.4713, 3.9952 Å; angles 90.00, 90.00, 120.00 degrees
Space group P-6 (No. 174)
Unique sites:
Pa1 0.0000 0.0000 0.0000
Pa2 0.3333 0.6667 0.5000
Al1 0.0227 0.3103 0.5000
Al2 0.1475 0.7646 0.0000
Al3 0.3741 0.1978 0.0000
Al4 0.5242 0.3926 0.5000
Fe1 0.0224 0.4701 0.0000
Fe2 0.1832 0.1722 0.5000
Fe3 0.6667 0.3333 0.0000

[7]
A plane-wave DFT calculation with GGA-PBE was carried out for PaAl2Fe after structural relaxation.

Calculated values
**ρ**: 8.704 g/cm3

Cell lengths 2.965, 2.965, 7.394 Å; angles 90.00, 90.00, 90.00 degrees
Space group P4/mmm (No. 123)
Unique sites:
Pa1 0.000 0.000 0.000
Al1 0.500 0.500 0.319
Fe1 0.000 0.000 0.500

[8]
A plane-wave DFT calculation with GGA-PBE was carried out for PaAl10Fe2 after structural relaxation.

Calculated values
**ρ**: 5.039 g/cm3

Cell lengths 8.848, 10.177, 8.966 Å; angles 90.00, 90.00, 90.00 degrees
Space group Cmcm (No. 63)
Unique sites:
Pa1 0.000 0.124 0.250
Al1 0.000 0.157 0.599
Al2 0.000 0.375 0.049
Al3 0.150 0.371 0.750
Al4 0.224 0.000 0.000
Al5 0.228 0.363 0.250
Fe1 0.250 0.250 0.000

Number 1: calculated formation energy -4.656 eV per formula unit. Number 2: calculated formation energy -3.281 eV per formula unit. Number 3: calculated formation energy -4.529 eV per formula unit. Number 4: calculated formation energy 0.935 eV per formula unit. Number 5: calculated formation energy -2.210 eV per formula unit. Number 6: calculated formation energy -5.332 eV per formula unit. Number 7: calculated formation energy -0.930 eV per formula unit. Number 8: calculated formation energy -4.061 eV per formula unit.